Density functional theory data (PBE) for crystalline LiPm2Al2Pd5 at its relaxed geometry.

Geometry as POSCAR:
```
LiPm2Al2Pd5
1.0
3.322 0.000 0.000
0.000 10.503 0.000
0.000 0.000 10.503
Pd Pm Al Li
10 4 4 2
Direct
0.500 0.799 0.940
0.500 0.440 0.299
0.500 0.500 0.000
0.500 0.560 0.701
0.500 0.060 0.799
0.500 0.299 0.560
0.500 0.940 0.201
0.500 0.701 0.440
0.500 0.201 0.060
0.500 0.000 0.500
0.000 0.826 0.674
0.000 0.174 0.326
0.000 0.674 0.174
0.000 0.326 0.826
0.000 0.127 0.627
0.000 0.373 0.127
0.000 0.627 0.873
0.000 0.873 0.373
0.000 0.500 0.500
0.000 0.000 0.000
```

Results
**Raw total energy**: -5.16 eV per atom
**Energy relative to the elements**: -0.676 eV/atom